Material: Tb2YSc5
Method: DFT, PBE
State: relaxed

a = 6.869 Å, b = 10.712 Å, c = 11.901 Å
α = 90.00°, β = 90.00°, γ = 90.00°
Space group Fmm2 (No. 42)
Inequivalent atoms, fractional coordinates:
Tb: 0.000 0.244 0.000
Y: 0.000 0.000 0.330
Sc: 0.000 0.000 0.827
Sc: 0.247 0.000 0.584
Sc: 0.250 0.250 0.246

Computed properties:
**ΔE to the lowest computed polymorph**: 0.00 eV/f.u.
**DFT formation energy**: 0.0278 eV per atom
**Total energy**: -5.8950 eV per atom

---

Material: LaMg2Se
Method: DFT, PBE
State: relaxed

a = 4.640 Å, b = 4.640 Å, c = 9.592 Å
α = 90.00°, β = 90.00°, γ = 90.00°
Space group I-4m2 (No. 119)
Inequivalent atoms, fractional coordinates:
La: 0.000 0.000 0.000
Mg: 0.000 0.000 0.500
Mg: 0.000 0.500 0.750
Se: 0.000 0.500 0.250

Computed properties:
**Formation energy from raw total energies**: -12.0 kcal/mol of atoms
**Total energy**: -3.4198 eV per atom

---

| no. | Fermi-level density of states (states/eV/cell) | calculated volume (A^3/atom) |
| --- | --- | --- |
| 1 | 62.663 | 27.366 |
| 2 | 6.649 | 25.817 |